[1]
A geometry-optimized HfTl2CdIr structure, computed with PBE.

Structure (extended XYZ):
```
5
Lattice="5.510 0.000 0.000 0.000 5.510 0.000 0.000 0.000 5.429" Properties=species:S:1:pos:R:3 pbc="T T T"
Hf 0.000 0.000 0.000
Tl 0.000 2.755 0.000
Tl 2.755 0.000 0.000
Cd 0.000 0.000 2.714
Ir 2.755 2.755 2.714
```

Values from the calculation:
Energy relative to the elements: 1.656 eV/atom
DOS at the Fermi energy: 1.582 states/eV per atom

=====

[2]
A geometry-optimized KHfCd3 structure, computed with PBE.

Structure (extended XYZ):
```
5
Lattice="5.461 0.000 0.000 0.000 5.461 0.000 0.000 0.000 5.461" Properties=species:S:1:pos:R:3 pbc="T T T"
K 0.000 0.000 0.000
Hf 2.731 2.731 2.731
Cd 0.000 0.000 2.731
Cd 0.000 2.731 0.000
Cd 2.731 0.000 0.000
```

Values from the calculation:
Polymorph energy (0 for the lowest one): 4.21 eV per formula unit
Energy relative to the elements: 1.352 eV/atom
DOS at the Fermi energy: 0.926 states/eV per atom